The following is a PBE+U calculation of a relaxed structure of MnSeNO2, from the Alexandria database.

abc: 3.856 3.856 3.900
angles: 90.00 90.00 90.00
Positions (direct):
Mn 0.000 0.000 0.000
Se 0.500 0.500 0.500
N 0.500 0.500 0.000
O 0.000 0.500 0.500
O 0.500 0.000 0.500

## Properties
symmetry: P4/mmm, No. 123
VASP energy: -28.2 eV/cell